1.
Material: Li2Nd2HoSn2
Method: DFT, PBE
State: optimized geometry

Structure (POSCAR):
```
Li2Nd2HoSn2
1.0
2.3958 1.3832 9.1634
-2.3958 1.3832 9.1634
0.0000 -2.7664 9.1634
Li Nd Ho Sn
2 2 1 2
Direct
0.1061 0.1061 0.1061 Li
0.8939 0.8939 0.8939 Li
0.3723 0.3723 0.3723 Nd
0.6277 0.6277 0.6277 Nd
0.5000 0.5000 0.5000 Ho
0.2323 0.2323 0.2323 Sn
0.7677 0.7677 0.7677 Sn
```

- Space-group type: No. 166
- Formation energy: -3.21 eV per formula unit

2.
Material: LiNdHo2Te4
Method: DFT, PBE
State: optimized geometry

Structure (POSCAR):
```
LiNdHo2Te4
1.0
7.5942 0.0000 0.0000
0.0000 4.3461 0.0000
-2.4891 0.0000 7.1809
Li Nd Ho Te
1 1 2 4
Direct
0.0000 0.0000 0.0000 Li
0.0000 0.5000 0.5000 Nd
0.5000 0.0000 0.5000 Ho
0.5000 0.5000 0.0000 Ho
0.2501 0.5000 0.2418 Te
0.2550 0.0000 0.7618 Te
0.7450 0.0000 0.2382 Te
0.7499 0.5000 0.7582 Te
```

- Space-group type: No. 10

3.
Material: LiNd2HoTe5
Method: DFT, PBE
State: optimized geometry

Structure (POSCAR):
```
LiNd2HoTe5
1.0
2.2025 -9.3760 0.0000
2.2025 9.3760 0.0000
0.0000 0.0000 13.2325
Li Nd Ho Te
2 4 2 10
Direct
0.0587 0.9413 0.5000 Li
0.9413 0.0587 0.0000 Li
0.3734 0.6266 0.3384 Nd
0.3941 0.6059 0.7222 Nd
0.6059 0.3941 0.2222 Nd
0.6266 0.3734 0.8384 Nd
0.3023 0.6977 0.0458 Ho
0.6977 0.3023 0.5458 Ho
0.0018 0.9982 0.8195 Te
0.1389 0.8611 0.0349 Te
0.1891 0.8109 0.3825 Te
0.2174 0.7826 0.7040 Te
0.4524 0.5476 0.1085 Te
0.5476 0.4524 0.6085 Te
0.7826 0.2174 0.2040 Te
0.8109 0.1891 0.8825 Te
0.8611 0.1389 0.5349 Te
0.9982 0.0018 0.3195 Te
```

- Space-group type: No. 36

4.
Material: LiNd2Ho3Te6
Method: DFT, PBE
State: optimized geometry

Structure (POSCAR):
```
LiNd2Ho3Te6
1.0
9.5919 -2.1844 0.0000
9.5919 2.1844 0.0000
-2.0653 0.0000 8.5613
Li Nd Ho Te
1 2 3 6
Direct
0.0000 0.0000 0.0000 Li
0.3292 0.3292 0.6572 Nd
0.6708 0.6708 0.3428 Nd
0.0000 0.0000 0.5000 Ho
0.3301 0.3301 0.1681 Ho
0.6699 0.6699 0.8319 Ho
0.1615 0.1615 0.5920 Te
0.1628 0.1628 0.0733 Te
0.4976 0.4976 0.2443 Te
0.5024 0.5024 0.7557 Te
0.8372 0.8372 0.9267 Te
0.8385 0.8385 0.4080 Te
```

- Space-group type: No. 12

5.
Material: Li3Nd2HoTe6
Method: DFT, PBE
State: optimized geometry

Structure (POSCAR):
```
Li3Nd2HoTe6
1.0
3.8258 -6.6264 0.0000
3.8258 6.6264 0.0000
-2.5544 0.0000 7.0851
Li Nd Ho Te
3 2 1 6
Direct
0.0000 0.0000 0.0000 Li
0.3324 0.6676 0.0000 Li
0.6676 0.3324 0.0000 Li
0.1666 0.8334 0.5000 Nd
0.8334 0.1666 0.5000 Nd
0.5000 0.5000 0.5000 Ho
0.0885 0.4134 0.2401 Te
0.2616 0.2616 0.7586 Te
0.4134 0.0885 0.2401 Te
0.5866 0.9115 0.7599 Te
0.7384 0.7384 0.2414 Te
0.9115 0.5866 0.7599 Te
```

- Space-group type: No. 12

6.
Material: LiNd2HoTe4
Method: DFT, PBE
State: optimized geometry

Structure (POSCAR):
```
LiNd2HoTe4
1.0
7.6080 0.0000 0.0000
0.0000 4.3837 0.0000
-2.5113 0.0000 7.2440
Li Nd Ho Te
1 2 1 4
Direct
0.0000 0.0000 0.0000 Li
0.0000 0.5000 0.5000 Nd
0.5000 0.0000 0.5000 Nd
0.5000 0.5000 0.0000 Ho
0.2400 0.5000 0.2316 Te
0.2500 0.0000 0.7668 Te
0.7500 0.0000 0.2332 Te
0.7600 0.5000 0.7684 Te
```

- Space-group type: No. 10

7.
Material: Li2NdHoTe4
Method: DFT, PBE
State: optimized geometry

Structure (POSCAR):
```
Li2NdHoTe4
1.0
7.5124 0.0000 0.0000
0.0000 4.3980 0.0000
-2.5651 0.0000 7.1707
Li Nd Ho Te
2 1 1 4
Direct
0.0000 0.0000 0.0000 Li
0.0000 0.5000 0.5000 Li
0.5000 0.0000 0.5000 Nd
0.5000 0.5000 0.0000 Ho
0.2396 0.5000 0.2391 Te
0.2439 0.0000 0.7558 Te
0.7561 0.0000 0.2442 Te
0.7604 0.5000 0.7609 Te
```

- Space-group type: No. 10

8.
Material: Li4NdHo3Te8
Method: DFT, PBE
State: optimized geometry

Structure (POSCAR):
```
Li4NdHo3Te8
1.0
4.3623 2.5186 7.0689
-4.3623 2.5186 7.0689
0.0000 -5.0372 7.0689
Li Nd Ho Te
4 1 3 8
Direct
0.0000 0.0000 0.0000 Li
0.0000 0.5000 0.5000 Li
0.5000 0.0000 0.5000 Li
0.5000 0.5000 0.0000 Li
0.5000 0.5000 0.5000 Nd
0.0000 0.0000 0.5000 Ho
0.0000 0.5000 0.0000 Ho
0.5000 0.0000 0.0000 Ho
0.2438 0.2438 0.7551 Te
0.2438 0.7551 0.2438 Te
0.2449 0.7562 0.7562 Te
0.2510 0.2510 0.2510 Te
0.7490 0.7490 0.7490 Te
0.7551 0.2438 0.2438 Te
0.7562 0.2449 0.7562 Te
0.7562 0.7562 0.2449 Te
```

- Space-group type: No. 166

9.
Material: LiNd4Ho3Te8
Method: DFT, PBE
State: optimized geometry

Structure (POSCAR):
```
LiNd4Ho3Te8
1.0
4.3812 2.5295 7.2914
-4.3812 2.5295 7.2914
0.0000 -5.0590 7.2914
Li Nd Ho Te
1 4 3 8
Direct
0.0000 0.0000 0.0000 Li
0.0000 0.0000 0.5000 Nd
0.0000 0.5000 0.0000 Nd
0.5000 0.0000 0.0000 Nd
0.5000 0.5000 0.5000 Nd
0.0000 0.5000 0.5000 Ho
0.5000 0.0000 0.5000 Ho
0.5000 0.5000 0.0000 Ho
0.2408 0.2408 0.7504 Te
0.2408 0.7504 0.2408 Te
0.2496 0.7592 0.7592 Te
0.2544 0.2544 0.2544 Te
0.7456 0.7456 0.7456 Te
0.7504 0.2408 0.2408 Te
0.7592 0.2496 0.7592 Te
0.7592 0.7592 0.2496 Te
```

- Space-group type: No. 166

10.
Material: LiNdHoTe3
Method: DFT, PBE
State: optimized geometry

Structure (POSCAR):
```
LiNdHoTe3
1.0
8.9704 0.0000 0.0000
0.0000 4.2780 0.0000
-2.2562 0.0000 9.2545
Li Nd Ho Te
2 2 2 6
Direct
0.0846 0.2500 0.0855 Li
0.9154 0.7500 0.9145 Li
0.1899 0.2500 0.7336 Nd
0.8101 0.7500 0.2664 Nd
0.3306 0.7500 0.3398 Ho
0.6694 0.2500 0.6602 Ho
0.0926 0.2500 0.3752 Te
0.2341 0.7500 0.0024 Te
0.4328 0.7500 0.6740 Te
0.5672 0.2500 0.3260 Te
0.7659 0.2500 0.9976 Te
0.9074 0.7500 0.6248 Te
```

- Space-group type: No. 11

11.
Material: Li2NdHoTl4
Method: DFT, PBE
State: optimized geometry

Structure (POSCAR):
```
Li2NdHoTl4
1.0
2.6150 1.5098 8.5440
-2.6150 1.5098 8.5440
0.0000 -3.0196 8.5440
Li Nd Ho Tl
2 1 1 4
Direct
0.2491 0.2491 0.2491 Li
0.7509 0.7509 0.7509 Li
0.0000 0.0000 0.0000 Nd
0.5000 0.5000 0.5000 Ho
0.1271 0.1271 0.1271 Tl
0.3773 0.3773 0.3773 Tl
0.6227 0.6227 0.6227 Tl
0.8729 0.8729 0.8729 Tl
```

- Space-group type: No. 166
- Formation energy: -2.58 eV per formula unit

12.
Material: LiNdYHo
Method: DFT, PBE
State: optimized geometry

Structure (POSCAR):
```
LiNdYHo
1.0
0.0000 3.9164 3.9164
3.9164 0.0000 3.9164
3.9164 3.9164 0.0000
Li Nd Y Ho
1 1 1 1
Direct
0.0000 0.0000 0.0000 Li
0.2500 0.2500 0.2500 Nd
0.7500 0.7500 0.7500 Y
0.5000 0.5000 0.5000 Ho
```

- Space-group type: No. 216
- Formation energy: 0.66 eV per formula unit

13.
Material: LiHoNi2
Method: DFT, PBE
State: optimized geometry

Structure (POSCAR):
```
LiHoNi2
1.0
0.0000 3.1606 3.1606
3.1606 0.0000 3.1606
3.1606 3.1606 0.0000
Li Ho Ni
1 1 2
Direct
0.0000 0.0000 0.0000 Li
0.5000 0.5000 0.5000 Ho
0.2500 0.2500 0.2500 Ni
0.7500 0.7500 0.7500 Ni
```

- Space-group type: No. 225
- Formation energy: -0.57 eV per formula unit

14.
Material: LiHo2Ni
Method: DFT, PBE
State: optimized geometry

Structure (POSCAR):
```
LiHo2Ni
1.0
1.9085 1.1019 9.6677
-1.9085 1.1019 9.6677
0.0000 -2.2037 9.6677
Li Ho Ni
1 2 1
Direct
0.0000 0.0000 0.0000 Li
0.1163 0.1163 0.1163 Ho
0.8837 0.8837 0.8837 Ho
0.5000 0.5000 0.5000 Ni
```

- Space-group type: No. 166
- Formation energy: 0.12 eV per formula unit

15.
Material: Li2HoNi
Method: DFT, PBE
State: optimized geometry

Structure (POSCAR):
```
Li2HoNi
1.0
1.5008 0.8665 10.0026
-1.5008 0.8665 10.0026
0.0000 -1.7330 10.0026
Li Ho Ni
2 1 1
Direct
0.1030 0.1030 0.1030 Li
0.8970 0.8970 0.8970 Li
0.0000 0.0000 0.0000 Ho
0.5000 0.5000 0.5000 Ni
```

- Space-group type: No. 166
- Formation energy: 1.57 eV per formula unit

16.
Material: LiHoNi
Method: DFT, PBE
State: optimized geometry

Structure (POSCAR):
```
LiHoNi
1.0
7.0759 0.0000 0.0000
0.0000 3.7616 0.0000
-0.2258 0.0000 12.3287
Li Ho Ni
6 6 6
Direct
0.0133 0.2500 0.0790 Li
0.1260 0.7500 0.5363 Li
0.3742 0.2500 0.1984 Li
0.6258 0.7500 0.8016 Li
0.8740 0.2500 0.4637 Li
0.9867 0.7500 0.9210 Li
0.0557 0.7500 0.2839 Ho
0.3423 0.2500 0.9147 Ho
0.4509 0.2500 0.6224 Ho
0.5491 0.7500 0.3776 Ho
0.6577 0.7500 0.0853 Ho
0.9443 0.2500 0.7161 Ho
0.2397 0.7500 0.7507 Ni
0.2591 0.2500 0.4122 Ni
0.2595 0.7500 0.0756 Ni
0.7405 0.2500 0.9244 Ni
0.7409 0.7500 0.5878 Ni
0.7603 0.2500 0.2493 Ni
```

- Space-group type: No. 11
- Formation energy: -0.66 eV per formula unit

17.
Material: LiHoNi
Method: DFT, PBE
State: optimized geometry

Structure (POSCAR):
```
LiHoNi
1.0
-1.7042 1.7042 4.6698
1.7042 -1.7042 4.6698
1.7042 1.7042 -4.6698
Li Ho Ni
1 1 1
Direct
0.0000 0.0000 0.0000 Li
0.2926 0.2926 0.0000 Ho
0.6387 0.6387 0.0000 Ni
```

- Space-group type: No. 107
- Formation energy: -0.31 eV per formula unit

18.
Material: Li2Ho2Ni15
Method: DFT, PBE
State: optimized geometry

Structure (POSCAR):
```
Li2Ho2Ni15
1.0
4.1551 2.3990 4.0233
-4.1551 2.3990 4.0233
0.0000 -4.7979 4.0233
Li Ho Ni
2 2 15
Direct
0.0936 0.0936 0.0936 Li
0.9064 0.9064 0.9064 Li
0.3435 0.3435 0.3435 Ho
0.6565 0.6565 0.6565 Ho
0.0000 0.0000 0.5000 Ni
0.0000 0.3055 0.6945 Ni
0.0000 0.5000 0.0000 Ni
0.0000 0.6945 0.3055 Ni
0.1590 0.6565 0.6565 Ni
0.3055 0.0000 0.6945 Ni
0.3055 0.6945 0.0000 Ni
0.3435 0.3435 0.8410 Ni
0.3435 0.8410 0.3435 Ni
0.5000 0.0000 0.0000 Ni
0.6565 0.1590 0.6565 Ni
0.6565 0.6565 0.1590 Ni
0.6945 0.0000 0.3055 Ni
0.6945 0.3055 0.0000 Ni
0.8410 0.3435 0.3435 Ni
```

- Space-group type: No. 166
- Formation energy: -4.46 eV per formula unit

19.
Material: LiHoNi2
Method: DFT, PBE
State: optimized geometry

Structure (POSCAR):
```
LiHoNi2
1.0
3.2945 0.0000 0.0000
0.0000 3.2945 0.0000
0.0000 0.0000 5.6692
Li Ho Ni
1 1 2
Direct
0.0000 0.0000 0.0000 Li
0.0000 0.0000 0.5000 Ho
0.5000 0.5000 0.2197 Ni
0.5000 0.5000 0.7803 Ni
```

- Space-group type: No. 123
- Formation energy: -0.69 eV per formula unit

20.
Material: LiHoNi
Method: DFT, PBE
State: optimized geometry

Structure (POSCAR):
```
LiHoNi
1.0
4.2041 0.0000 0.0000
-2.1020 3.6409 0.0000
0.0000 0.0000 3.5587
Li Ho Ni
1 1 1
Direct
0.0000 0.0000 0.0000 Li
0.6667 0.3333 0.5000 Ho
0.3333 0.6667 0.0000 Ni
```

- Space-group type: No. 187
- Formation energy: -0.28 eV per formula unit

21.
Material: LiHoNi2
Method: DFT, PBE
State: optimized geometry

Structure (POSCAR):
```
LiHoNi2
1.0
2.0405 1.1781 4.4847
-2.0405 1.1781 4.4847
0.0000 -2.3561 4.4847
Li Ho Ni
1 1 2
Direct
0.0000 0.0000 0.0000 Li
0.5000 0.5000 0.5000 Ho
0.2957 0.2957 0.2957 Ni
0.7043 0.7043 0.7043 Ni
```

- Space-group type: No. 166
- Formation energy: -0.70 eV per formula unit

22.
Material: LiHoNi4
Method: DFT, PBE
State: optimized geometry

Structure (POSCAR):
```
LiHoNi4
1.0
0.0000 3.4529 3.4529
3.4529 0.0000 3.4529
3.4529 3.4529 0.0000
Li Ho Ni
1 1 4
Direct
0.0000 0.0000 0.0000 Li
0.2500 0.2500 0.2500 Ho
0.1233 0.6256 0.6256 Ni
0.6256 0.1233 0.6256 Ni
0.6256 0.6256 0.1233 Ni
0.6256 0.6256 0.6256 Ni
```

- Space-group type: No. 216
- Formation energy: -2.05 eV per formula unit

23.
Material: LiHoNi2
Method: DFT, PBE
State: optimized geometry

Structure (POSCAR):
```
LiHoNi2
1.0
4.0453 0.0000 0.0000
0.0000 4.0453 0.0000
0.0000 0.0000 3.7364
Li Ho Ni
1 1 2
Direct
0.0000 0.0000 0.0000 Li
0.5000 0.5000 0.0000 Ho
0.0000 0.5000 0.5000 Ni
0.5000 0.0000 0.5000 Ni
```

- Space-group type: No. 123
- Formation energy: -0.64 eV per formula unit

no.,E (hartree per atom)
1,-0.153
2,-0.179
3,-0.178
4,-0.184
5,-0.166
6,-0.181
7,-0.166
8,-0.165
9,-0.187
10,-0.174
11,-0.116
12,-0.157
13,-0.171
14,-0.154
15,-0.116
16,-0.158
17,-0.154
18,-0.201
19,-0.172
20,-0.154
21,-0.172
22,-0.194
23,-0.172